The following is a DFT calculation (GGA-PBE) of a geometry-optimized Li2BeSiO4 structure.

Values from the calculation:
Uncorrected energy, hartree per atom: -0.24561
Raw formation energy, eV/atom: -2.582

Geometry as CIF:
```
data_Li2BeSiO4
_chemical_formula_sum 'Li4 Be2 Si2 O8'
_symmetry_space_group_name_H-M 'P 1'
_symmetry_Int_Tables_number 1
_cell_length_a 5.665
_cell_length_b 5.380
_cell_length_c 4.749
_cell_angle_alpha 90.00
_cell_angle_beta 90.00
_cell_angle_gamma 90.00
loop_
_symmetry_equiv_pos_as_xyz
'x,y,z'
loop_
_atom_site_label
_atom_site_type_symbol
_atom_site_fract_x
_atom_site_fract_y
_atom_site_fract_z
Li1 Li 0.249 0.165 0.000
Li2 Li 0.251 0.835 0.500
Li3 Li 0.749 0.835 0.500
Li4 Li 0.751 0.165 0.000
Be1 Be 0.000 0.346 0.511
Be2 Be 0.500 0.654 0.011
Si1 Si 0.000 0.652 0.010
Si2 Si 0.500 0.348 0.510
O1 O 0.000 0.378 0.856
O2 O 0.000 0.620 0.355
O3 O 0.245 0.805 0.921
O4 O 0.255 0.195 0.421
O5 O 0.500 0.380 0.855
O6 O 0.500 0.622 0.356
O7 O 0.745 0.195 0.421
O8 O 0.755 0.805 0.921
```